Entry one
VASP calculation (PBE-GGA) on crystalline KPbSe at its relaxed geometry.

```
3
Lattice="-0.281 -1.795 -4.987 4.148 -2.517 -2.153 -0.254 -5.219 -0.932" Properties=species:S:1:pos:R:3 pbc="T T T"
K 0.000 0.000 0.000
Pb 1.806 -4.765 -4.036
Se 2.710 -7.148 -6.054
```

## Properties
Its space group is F-43m. For the magnetization, the calculation gives 0.00 μB per cell. Its density of states at the Fermi level is 1.7 states/eV/cell.

=====

Entry two
VASP calculation (PBE-GGA) on crystalline KPbSe at its relaxed geometry.

```
3
Lattice="4.321 -0.008 0.004 2.105 4.234 -0.004 2.155 1.546 6.256" Properties=species:S:1:pos:R:3 pbc="T T T"
K 3.765 2.289 4.303
Pb 5.927 3.853 1.296
Se 3.765 2.269 0.063
```

## Properties
Its space group is P1. For the magnetization, the calculation gives 0.00 μB per cell. Its density of states at the Fermi level is 2.0 states/eV/cell.

=====

Computed relative energies in units of meV/atom: entry one 88; entry two 0